This record from Alexandria via LeMat-Bulk describes Sr2Zn4Ge3Bi after structural relaxation. The functional is PBE.

Cell lengths 4.601, 4.601, 10.791 Å; angles 90.00, 90.00, 90.00 degrees
Positions (direct):
Sr  0.500  0.000  0.235
Sr  0.000  0.500  0.765
Zn  0.500  0.500  0.000
Zn  0.000  0.000  0.000
Zn  0.500  0.000  0.647
Zn  0.000  0.500  0.353
Ge  0.000  0.000  0.500
Ge  0.500  0.000  0.876
Ge  0.000  0.500  0.124
Bi  0.500  0.500  0.500

Results
As for the energy: -29.4 eV per cell. The total magnetization is 0.0 μB per cell. The value obtained for the energy of formation is -0.32 eV per atom.